This record from Alexandria via LeMat-Bulk describes a relaxed Ba2BeIn crystal. The functional is PBE.

The structure in POSCAR format:
```
Ba2BeIn
1.0
6.547 -1.933 0.000
6.547 1.933 0.000
-2.568 0.000 5.207
Ba Be In
2 1 1
Cartesian
0.000 0.000 0.000
0.655 0.000 3.564
4.622 0.000 2.298
9.601 0.000 1.508
```

Calculated values
Theoretical density ... 5.02 g/cm3
Space-group type ... No. 8
Energy relative to the lowest polymorph listed for this composition ... 0 meV per atom
Volume ... 132 Å³ per cell
Magnetic moment ... 0.00 μB/atom